Record 1
Density functional theory data (PBE) for a relaxed Sr11Zn4In9 crystal.

Computed properties:
- Symmetry: No. 65
- DOS(E_F): 11.77 states/eV/cell
- Energy of formation: -0.352 eV/atom
- Total DFT energy (no corrections): -56.68 eV per cell

The structure in POSCAR format:
```
Sr11Zn4In9
1.0
4.048 0.000 0.000
0.000 13.078 -5.495
0.000 0.087 14.185
Zn Sr In
4 11 9
direct
0.500 0.244 0.449
0.500 0.449 0.244
0.500 0.756 0.551
0.500 0.551 0.756
0.000 0.374 0.626
0.000 0.000 0.000
0.000 0.591 0.939
0.000 0.061 0.409
0.000 0.305 0.305
0.000 0.164 0.836
0.000 0.939 0.591
0.000 0.409 0.061
0.000 0.836 0.164
0.000 0.626 0.374
0.000 0.695 0.695
0.500 0.920 0.783
0.500 0.370 0.830
0.500 0.080 0.217
0.500 0.783 0.920
0.500 0.500 0.500
0.500 0.830 0.370
0.500 0.630 0.170
0.500 0.170 0.630
0.500 0.217 0.080
```

Record 2
Density functional theory data (PBE) for a relaxed Dy5RuSe4 crystal.

Computed properties:
- Symmetry: No. 87
- DOS(E_F): 8.52 states/eV/cell
- Total DFT energy (no corrections): -60.70 eV per cell

The structure in POSCAR format:
```
Dy5RuSe4
1.0
5.251 0.000 2.533
2.625 6.484 1.266
-0.192 0.000 7.107
Dy Se Ru
5 4 1
direct
0.095 0.630 0.183
0.907 0.370 0.817
0.277 0.817 0.630
0.501 0.000 0.000
0.725 0.183 0.370
0.195 0.213 0.400
0.807 0.787 0.600
0.595 0.600 0.213
0.407 0.400 0.787
0.001 0.000 0.000
```

Record 3
Density functional theory data (PBE) for a relaxed CaZnSi2 crystal.

Computed properties:
- Symmetry: No. 10
- DOS(E_F): 0.71 states/eV/cell
- Total DFT energy (no corrections): -13.59 eV per cell

The structure in POSCAR format:
```
CaZnSi2
1.0
3.242 0.000 0.000
0.000 5.133 0.062
0.000 3.393 4.653
Si Ca Zn
2 1 1
direct
0.000 0.000 0.000
0.500 0.500 0.000
0.000 0.000 0.500
0.500 0.500 0.500
```

Record 4
Density functional theory data (PBE) for a relaxed Nd6DyCd2 crystal.

Computed properties:
- Symmetry: No. 15
- DOS(E_F): 21.96 states/eV/cell
- Polymorph energy (0 for the lowest one): 0.064 eV/atom
- Energy of formation: -0.067 eV/atom
- Total DFT energy (no corrections): -71.29 eV per cell

The structure in POSCAR format:
```
Nd6DyCd2
1.0
-5.599 0.793 2.649
-0.089 -8.804 4.323
3.572 1.279 9.045
Dy Nd Cd
2 12 4
direct
0.750 0.898 0.102
0.250 0.102 0.898
0.491 0.684 0.430
0.164 0.351 0.096
0.336 0.904 0.649
0.836 0.649 0.904
0.509 0.316 0.570
0.687 0.268 0.967
0.187 0.967 0.268
0.664 0.096 0.351
0.009 0.570 0.316
0.991 0.430 0.684
0.813 0.033 0.732
0.313 0.732 0.033
0.092 0.213 0.458
0.408 0.542 0.787
0.592 0.458 0.213
0.908 0.787 0.542
```